The following is a PBE+U calculation of a relaxed structure of Li3FeP2O8, from the Alexandria database.

Output
**Energy above the lowest structure with this stoichiometry**: 0.062 eV per atom
**Calculated volume**: 320.35 Å³/cell

CIF file:
```
data_Li3FeP2O8
_chemical_formula_sum 'Li6 Fe2 P4 O16'
_space_group_name_H-M_alt 'P 1 21/m 1'
_space_group_IT_number 11
_space_group_name_Hall '-P 2yb'
_cell_length_a 7.153
_cell_length_b 5.274
_cell_length_c 8.500
_cell_angle_alpha 90.00
_cell_angle_beta 92.50
_cell_angle_gamma 90.00
loop_
_atom_site_label
_atom_site_type_symbol
_atom_site_fract_x
_atom_site_fract_y
_atom_site_fract_z
Li1 Li 0.057 0.250 0.244
Li2 Li 0.128 0.250 0.929
Li3 Li 0.185 0.750 0.352
Fe1 Fe 0.455 0.250 0.250
P1 P 0.270 0.750 0.052
P2 P 0.275 0.250 0.608
O1 O 0.087 0.250 0.691
O2 O 0.095 0.750 0.942
O3 O 0.239 0.250 0.425
O4 O 0.258 0.514 0.164
O5 O 0.388 0.010 0.653
O6 O 0.451 0.750 0.963
```